CaP2Pt | GGA-PBEsol | optimized geometry

* ΔE_f: -0.39 eV per atom
* offset from the most stable computed form: 510 meV/atom
* raw total energy: -44.5 eV for the cell shown

CIF file:
```
data_CaP2Pt
_chemical_formula_sum 'Ca2 P4 Pt2'
_space_group_name_H-M_alt 'C m m m'
_space_group_IT_number 65
_space_group_name_Hall '-C 2 2'
_cell_length_a 4.010
_cell_length_b 6.307
_cell_length_c 6.242
_cell_angle_alpha 90.00
_cell_angle_beta 90.00
_cell_angle_gamma 90.00
loop_
_atom_site_label
_atom_site_type_symbol
_atom_site_fract_x
_atom_site_fract_y
_atom_site_fract_z
Ca1 Ca 0.000 0.000 0.000
P1 P 0.000 0.500 0.302
Pt1 Pt 0.000 0.000 0.500
```